The following is a DFT calculation (GGA-PBE) of a geometry-optimized Ho4Cd structure.

Results
Uncorrected energy = -0.12517 Ha/atom
Calculated formation energy = 439.1 meV/atom

Cell and atoms, written as CIF:
```
data_Ho4Cd
_chemical_formula_sum 'Ho4 Cd1'
_cell_length_a 5.6220
_cell_length_b 5.6220
_cell_length_c 5.6220
_cell_angle_alpha 90.00
_cell_angle_beta 90.00
_cell_angle_gamma 90.00
_space_group_name_H-M_alt 'P 1'
_space_group_IT_number 1
loop_
_space_group_symop_operation_xyz
'x,y,z'
loop_
_atom_site_label
_atom_site_type_symbol
_atom_site_fract_x
_atom_site_fract_y
_atom_site_fract_z
Ho1 Ho 0.0000 0.0000 0.0000
Ho2 Ho 0.5000 0.0000 0.5000
Ho3 Ho 0.0000 0.5000 0.5000
Ho4 Ho 0.5000 0.5000 0.0000
Cd1 Cd 0.5000 0.5000 0.5000
```

The following is a DFT calculation (GGA-PBE) of a geometry-optimized Ho4Cd structure.

Results
Uncorrected energy = -0.14531 Ha/atom
Calculated formation energy = -108.8 meV/atom

Cell and atoms, written as CIF:
```
data_Ho4Cd
_chemical_formula_sum 'Ho4 Cd1'
_cell_length_a 3.5335
_cell_length_b 3.5335
_cell_length_c 11.8911
_cell_angle_alpha 98.54
_cell_angle_beta 98.54
_cell_angle_gamma 90.00
_space_group_name_H-M_alt 'P 1'
_space_group_IT_number 1
loop_
_space_group_symop_operation_xyz
'x,y,z'
loop_
_atom_site_label
_atom_site_type_symbol
_atom_site_fract_x
_atom_site_fract_y
_atom_site_fract_z
Ho1 Ho 0.5901 0.5901 0.1803
Ho2 Ho 0.1968 0.1968 0.3935
Ho3 Ho 0.8032 0.8032 0.6065
Ho4 Ho 0.4099 0.4099 0.8197
Cd1 Cd 0.0000 0.0000 0.0000
```

The following is a DFT calculation (GGA-PBE) of a geometry-optimized Ho3Cd structure.

Results
Uncorrected energy = -0.13983 Ha/atom
Calculated formation energy = -142.8 meV/atom

Cell and atoms, written as CIF:
```
data_Ho3Cd
_chemical_formula_sum 'Ho3 Cd1'
_cell_length_a 3.7848
_cell_length_b 5.3385
_cell_length_c 6.5359
_cell_angle_alpha 114.10
_cell_angle_beta 106.83
_cell_angle_gamma 90.00
_space_group_name_H-M_alt 'P 1'
_space_group_IT_number 1
loop_
_space_group_symop_operation_xyz
'x,y,z'
loop_
_atom_site_label
_atom_site_type_symbol
_atom_site_fract_x
_atom_site_fract_y
_atom_site_fract_z
Ho1 Ho 0.2756 0.6918 0.5513
Ho2 Ho 0.5000 0.4170 0.0000
Ho3 Ho 0.7244 0.1405 0.4487
Cd1 Cd 0.0000 0.9174 0.0000
```

The following is a DFT calculation (GGA-PBE) of a geometry-optimized Ho3Cd2 structure.

Results
Uncorrected energy = -0.12154 Ha/atom
Calculated formation energy = -194.6 meV/atom

Cell and atoms, written as CIF:
```
data_Ho3Cd2
_chemical_formula_sum 'Ho12 Cd8'
_cell_length_a 7.5428
_cell_length_b 8.5507
_cell_length_c 8.5507
_cell_angle_alpha 90.00
_cell_angle_beta 90.00
_cell_angle_gamma 90.00
_space_group_name_H-M_alt 'P 1'
_space_group_IT_number 1
loop_
_space_group_symop_operation_xyz
'x,y,z'
loop_
_atom_site_label
_atom_site_type_symbol
_atom_site_fract_x
_atom_site_fract_y
_atom_site_fract_z
Ho1 Ho 0.2500 0.0000 0.5000
Ho2 Ho 0.7500 0.0000 0.5000
Ho3 Ho 0.2500 0.5000 0.0000
Ho4 Ho 0.7500 0.5000 0.0000
Ho5 Ho 0.0000 0.3468 0.3468
Ho6 Ho 0.0000 0.6532 0.6532
Ho7 Ho 0.5000 0.1532 0.8468
Ho8 Ho 0.5000 0.8468 0.1532
Ho9 Ho 0.0000 0.1882 0.8118
Ho10 Ho 0.0000 0.8118 0.1882
Ho11 Ho 0.5000 0.6882 0.6882
Ho12 Ho 0.5000 0.3118 0.3118
Cd1 Cd 0.2116 0.1280 0.1280
Cd2 Cd 0.2116 0.8720 0.8720
Cd3 Cd 0.7116 0.3720 0.6280
Cd4 Cd 0.7116 0.6280 0.3720
Cd5 Cd 0.2884 0.3720 0.6280
Cd6 Cd 0.2884 0.6280 0.3720
Cd7 Cd 0.7884 0.1280 0.1280
Cd8 Cd 0.7884 0.8720 0.8720
```

The following is a DFT calculation (GGA-PBE) of a geometry-optimized HoCd6 structure.

Results
Uncorrected energy = -0.03493 Ha/atom
Calculated formation energy = 488.0 meV/atom

Cell and atoms, written as CIF:
```
data_HoCd6
_chemical_formula_sum 'Ho1 Cd6'
_cell_length_a 6.6792
_cell_length_b 6.6792
_cell_length_c 6.6792
_cell_angle_alpha 109.47
_cell_angle_beta 109.47
_cell_angle_gamma 109.47
_space_group_name_H-M_alt 'P 1'
_space_group_IT_number 1
loop_
_space_group_symop_operation_xyz
'x,y,z'
loop_
_atom_site_label
_atom_site_type_symbol
_atom_site_fract_x
_atom_site_fract_y
_atom_site_fract_z
Ho1 Ho 0.0000 0.0000 0.0000
Cd1 Cd 0.2500 0.7500 0.5000
Cd2 Cd 0.5000 0.7500 0.2500
Cd3 Cd 0.2500 0.5000 0.7500
Cd4 Cd 0.7500 0.2500 0.5000
Cd5 Cd 0.5000 0.2500 0.7500
Cd6 Cd 0.7500 0.5000 0.2500
```

The following is a DFT calculation (GGA-PBE) of a geometry-optimized Ho3Cd4 structure.

Results
Uncorrected energy = -0.09557 Ha/atom
Calculated formation energy = -115.8 meV/atom

Cell and atoms, written as CIF:
```
data_Ho3Cd4
_chemical_formula_sum 'Ho3 Cd4'
_cell_length_a 5.1730
_cell_length_b 5.1730
_cell_length_c 8.9815
_cell_angle_alpha 73.26
_cell_angle_beta 73.26
_cell_angle_gamma 60.00
_space_group_name_H-M_alt 'P 1'
_space_group_IT_number 1
loop_
_space_group_symop_operation_xyz
'x,y,z'
loop_
_atom_site_label
_atom_site_type_symbol
_atom_site_fract_x
_atom_site_fract_y
_atom_site_fract_z
Ho1 Ho 0.2495 0.2495 0.2515
Ho2 Ho 0.7505 0.7505 0.7485
Ho3 Ho 0.0000 0.0000 0.0000
Cd1 Cd 0.6201 0.6201 0.1398
Cd2 Cd 0.8733 0.8733 0.3802
Cd3 Cd 0.1267 0.1267 0.6198
Cd4 Cd 0.3799 0.3799 0.8602
```

The following is a DFT calculation (GGA-PBE) of a geometry-optimized Ho3Cd structure.

Results
Uncorrected energy = -0.13500 Ha/atom
Calculated formation energy = -11.4 meV/atom

Cell and atoms, written as CIF:
```
data_Ho3Cd
_chemical_formula_sum 'Ho3 Cd1'
_cell_length_a 5.4104
_cell_length_b 5.4104
_cell_length_c 5.4104
_cell_angle_alpha 60.00
_cell_angle_beta 60.00
_cell_angle_gamma 60.00
_space_group_name_H-M_alt 'P 1'
_space_group_IT_number 1
loop_
_space_group_symop_operation_xyz
'x,y,z'
loop_
_atom_site_label
_atom_site_type_symbol
_atom_site_fract_x
_atom_site_fract_y
_atom_site_fract_z
Ho1 Ho 0.0000 0.0000 0.0000
Ho2 Ho 0.7500 0.7500 0.7500
Ho3 Ho 0.2500 0.2500 0.2500
Cd1 Cd 0.5000 0.5000 0.5000
```

The following is a DFT calculation (GGA-PBE) of a geometry-optimized HoCd structure.

Results
Uncorrected energy = -0.11043 Ha/atom
Calculated formation energy = -258.4 meV/atom

Cell and atoms, written as CIF:
```
data_HoCd
_chemical_formula_sum 'Ho2 Cd2'
_cell_length_a 3.5807
_cell_length_b 4.9105
_cell_length_c 6.2964
_cell_angle_alpha 90.00
_cell_angle_beta 107.89
_cell_angle_gamma 90.00
_space_group_name_H-M_alt 'P 1'
_space_group_IT_number 1
loop_
_space_group_symop_operation_xyz
'x,y,z'
loop_
_atom_site_label
_atom_site_type_symbol
_atom_site_fract_x
_atom_site_fract_y
_atom_site_fract_z
Ho1 Ho 0.6646 0.2500 0.3220
Ho2 Ho 0.3354 0.7500 0.6780
Cd1 Cd 0.9230 0.2500 0.8541
Cd2 Cd 0.0770 0.7500 0.1459
```